The following is a meta-GGA SCAN calculation of Co3HW at its PBEsol-relaxed geometry, from Alexandria via LeMat-Bulk.

Geometry as extended XYZ:
```
5
Lattice="3.591 0.000 0.000 0.000 3.591 0.000 0.000 0.000 3.591" Properties=species:S:1:pos:R:3 pbc="T T T"
Co 0.000 0.000 1.796
Co 0.000 1.796 0.000
Co 1.796 0.000 0.000
H 0.000 0.000 0.000
W 1.796 1.796 1.796
```

## Properties
- Space group: Pm-3m (221)



The following is a meta-GGA SCAN calculation of YCoH2 at its PBEsol-relaxed geometry, from Alexandria via LeMat-Bulk.

Geometry as extended XYZ:
```
8
Lattice="-2.058 2.058 4.821 2.058 -2.058 4.821 2.058 2.058 -4.821" Properties=species:S:1:pos:R:3 pbc="T T T"
Y 0.000 0.000 0.000
Y 0.000 2.058 2.410
Co 2.058 0.000 2.410
Co 0.000 0.000 4.821
H 1.029 -0.430 3.615
H 1.628 1.029 1.205
H 1.029 2.487 -1.205
H 0.430 1.029 6.026
```

## Properties
- Space group: I-42d (122)



The following is a meta-GGA SCAN calculation of ZnCo2H2 at its PBEsol-relaxed geometry, from Alexandria via LeMat-Bulk.

Geometry as extended XYZ:
```
5
Lattice="-1.406 1.406 4.796 1.406 -1.406 4.796 1.406 1.406 -4.796" Properties=species:S:1:pos:R:3 pbc="T T T"
Zn 0.000 0.000 0.000
Co 0.000 0.000 3.324
Co 0.000 0.000 6.268
H 1.406 0.000 2.398
H 0.000 1.406 2.398
```

## Properties
- Space group: I4/mmm (139)



The following is a meta-GGA SCAN calculation of ZnCoH3 at its PBEsol-relaxed geometry, from Alexandria via LeMat-Bulk.

Geometry as extended XYZ:
```
5
Lattice="3.194 0.000 0.000 0.000 3.194 0.000 0.000 0.000 3.194" Properties=species:S:1:pos:R:3 pbc="T T T"
Zn 0.000 0.000 0.000
Co 1.597 1.597 1.597
H 0.000 1.597 1.597
H 1.597 0.000 1.597
H 1.597 1.597 0.000
```

## Properties
- Space group: Pm-3m (221)



The following is a meta-GGA SCAN calculation of ZnCo3H at its PBEsol-relaxed geometry, from Alexandria via LeMat-Bulk.

Geometry as extended XYZ:
```
5
Lattice="3.573 0.000 0.000 0.000 3.573 0.000 0.000 0.000 3.573" Properties=species:S:1:pos:R:3 pbc="T T T"
Zn 0.000 0.000 0.000
Co 0.000 1.787 1.787
Co 1.787 0.000 1.787
Co 1.787 1.787 0.000
H 1.787 1.787 1.787
```

## Properties
- Space group: Pm-3m (221)



The following is a meta-GGA SCAN calculation of Zr2CoH2 at its PBEsol-relaxed geometry, from Alexandria via LeMat-Bulk.

Geometry as extended XYZ:
```
5
Lattice="-1.565 1.565 5.900 1.565 -1.565 5.900 1.565 1.565 -5.900" Properties=species:S:1:pos:R:3 pbc="T T T"
Zr 0.000 0.000 1.581
Zr 0.000 0.000 10.218
Co 0.000 0.000 5.900
H 1.565 0.000 2.950
H 0.000 1.565 2.950
```

## Properties
- Space group: I4/mmm (139)



The following is a meta-GGA SCAN calculation of Zr2CoH5 at its PBEsol-relaxed geometry, from Alexandria via LeMat-Bulk.

Geometry as extended XYZ:
```
32
Lattice="6.785 0.000 0.000 0.000 6.785 0.000 0.000 0.000 5.589" Properties=species:S:1:pos:R:3 pbc="T T T"
Zr 0.601 3.993 1.397
Zr 0.601 6.184 4.192
Zr 2.792 3.993 4.192
Zr 2.792 6.184 1.397
Zr 3.993 0.601 4.192
Zr 3.993 2.792 1.397
Zr 6.184 0.601 1.397
Zr 6.184 2.792 4.192
Co 1.696 1.696 0.031
Co 1.696 1.696 2.826
Co 5.089 5.089 2.763
Co 5.089 5.089 5.558
H 0.237 1.134 3.200
H 0.237 2.258 0.405
H 1.134 0.237 0.405
H 1.134 3.155 3.200
H 1.696 5.089 0.000
H 1.696 5.089 2.795
H 2.258 0.237 3.200
H 2.258 3.155 0.405
H 3.155 1.134 0.405
H 3.155 2.258 3.200
H 3.629 4.527 2.390
H 3.629 5.651 5.184
H 4.527 3.629 5.184
H 4.527 6.548 2.390
H 5.089 1.696 0.000
H 5.089 1.696 2.795
H 5.651 3.629 2.390
H 5.651 6.548 5.184
H 6.548 4.527 5.184
H 6.548 5.651 2.390
```

## Properties
- Space group: P4/ncc (130)



The following is a meta-GGA SCAN calculation of ZrCo3H at its PBEsol-relaxed geometry, from Alexandria via LeMat-Bulk.

Geometry as extended XYZ:
```
5
Lattice="3.693 0.000 0.000 0.000 3.693 0.000 0.000 0.000 3.693" Properties=species:S:1:pos:R:3 pbc="T T T"
Zr 0.000 0.000 0.000
Co 0.000 1.846 1.846
Co 1.846 0.000 1.846
Co 1.846 1.846 0.000
H 1.846 1.846 1.846
```

## Properties
- Space group: Pm-3m (221)



One value per record, in order, for calculated volume: 9.3 10.2 7.6 6.5 9.1 11.6 8.0 10.1 A^3/atom.
One value per record, in order, for DFT total energy: -24.84 -13.24 -10.89 -8.04 -13.70 -17.55 -12.49 -17.32 eV per atom.
One value per record, in order, for size of the total moment: 0.008 0.068 1.741 0.000 4.109 0.004 4.834 1.817 μB per cell.